Computed, not measured: crystalline CaHgSCl2 at its relaxed geometry at the PBE level of DFT.

For the energy above the most stable polymorph in this dataset, the calculation gives 0 meV/atom. The value obtained for the raw formation energy is -0.83 eV per atom.

extended XYZ file:
```
5
Lattice="5.280 0.000 0.000 0.000 5.280 0.000 0.000 0.000 5.758" Properties=species:S:1:pos:R:3 pbc="T T T"
S 0.000 0.000 2.879
Ca 0.000 0.000 0.000
Hg 2.640 2.640 2.879
Cl 0.000 2.640 0.000
Cl 2.640 0.000 0.000
```


Computed, not measured: crystalline BaSnHg2Pb at its relaxed geometry at the PBE level of DFT.

The energy of formation is -1.7 eV/f.u.

extended XYZ file:
```
5
Lattice="-0.334 4.638 2.395 -3.131 1.588 -3.512 -3.040 -5.173 3.882" Properties=species:S:1:pos:R:3 pbc="T T T"
Ba -4.274 -1.845 2.977
Sn -4.859 1.764 1.618
Hg -1.907 1.568 2.409
Hg -0.542 -0.234 0.377
Pb -3.453 -0.021 -0.442
```


Number 1: M_tot 1.45 μB/f.u.. Number 2: M_tot 0.00 μB/f.u..